1.
A relaxed LiTa6O15 crystal. Source: the Alexandria database, functional PBE-GGA.

Geometry as POSCAR:
```
LiTa6O15
1.0
-3.366 -0.484 1.902
-1.446 -7.732 -4.526
8.130 -8.654 12.188
Ta O Li
12 30 2
Direct
0.000 0.601 0.632
0.000 0.187 0.941
0.000 0.952 0.747
0.000 0.399 0.132
0.000 0.603 0.870
0.000 0.315 0.751
0.000 0.685 0.251
0.000 0.397 0.370
0.000 0.184 0.558
0.000 0.816 0.058
0.000 0.813 0.441
0.000 0.048 0.247
0.500 0.052 0.257
0.000 0.800 0.669
0.000 0.870 0.326
0.000 0.004 0.494
0.000 0.130 0.826
0.000 0.182 0.338
0.000 0.996 0.994
0.500 0.621 0.865
0.500 0.188 0.941
0.000 0.547 0.749
0.000 0.614 0.370
0.000 0.614 0.131
0.000 0.333 0.478
0.500 0.812 0.441
0.000 0.667 0.978
0.500 0.177 0.564
0.000 0.386 0.631
0.000 0.663 0.527
0.000 0.128 0.676
0.500 0.379 0.365
0.500 0.948 0.757
0.000 0.453 0.249
0.500 0.315 0.749
0.000 0.818 0.838
0.000 0.337 0.027
0.500 0.823 0.064
0.000 0.872 0.176
0.000 0.200 0.169
0.500 0.685 0.249
0.000 0.386 0.870
0.500 0.155 0.363
0.500 0.845 0.863
```

2.
A relaxed YMgIn2N crystal. Source: the Alexandria database, functional PBE-GGA.

Geometry as POSCAR:
```
YMgIn2N
1.0
-0.539 -2.755 -4.002
-0.693 -3.712 2.648
-4.802 0.911 0.020
In N Mg Y
2 1 1 1
Direct
0.500 0.000 0.000
0.000 0.000 0.500
0.000 0.000 0.000
0.500 0.500 0.500
0.000 0.500 0.000
```

3.
NdPu3Pt2 (PBE-GGA, optimized geometry); calculated formation energy = -3.36 eV/f.u.
1.0
-3.260 2.122 -2.103
-5.061 -3.701 4.112
0.258 6.586 6.246
Pu Pt Nd
6 4 2
Direct
0.000 0.360 0.322
0.000 0.474 0.928
0.000 0.860 0.678
0.000 0.974 0.072
0.500 0.148 0.833
0.500 0.648 0.167
0.000 0.747 0.366
0.000 0.247 0.634
0.500 0.747 0.858
0.500 0.247 0.142
0.500 0.525 0.576
0.500 0.025 0.424

4.
Mg5Zn2Ga5 (PBE-GGA, optimized geometry); calculated formation energy = -1.27 eV/f.u.
1.0
4.371 0.000 0.000
-2.185 7.239 -0.830
0.000 -4.740 7.736
Ga Mg Zn
5 5 2
Direct
0.234 0.467 0.171
0.766 0.533 0.829
0.935 0.870 0.639
0.065 0.130 0.361
0.000 0.000 0.000
0.500 0.000 0.500
0.594 0.189 0.910
0.682 0.364 0.335
0.318 0.636 0.665
0.406 0.811 0.090
0.848 0.697 0.247
0.152 0.303 0.753

5.
BeBN2 (PBE-GGA, optimized geometry); ΔE to the lowest computed polymorph = 0.000 eV per formula unit
1.0
-1.727 -3.371 -0.599
1.042 0.121 -3.688
2.776 -3.369 -1.319
B N Be
2 4 2
Direct
0.750 0.250 0.500
0.000 0.000 0.000
0.093 0.625 0.250
0.875 0.907 0.750
0.375 0.343 0.750
0.657 0.125 0.250
0.250 0.750 0.500
0.500 0.500 0.000

6.
KTlS (PBE-GGA, optimized geometry); ΔE to the lowest computed polymorph = 0.066 eV per formula unit
1.0
-2.176 2.417 2.866
0.775 -4.182 0.837
5.285 1.525 2.726
S Tl K
1 1 1
Direct
0.667 0.333 0.351
0.333 0.667 0.589
0.000 0.000 0.060

7.
MgSi2P (PBE-GGA, optimized geometry); ΔE to the lowest computed polymorph = 0.250 eV per formula unit
1.0
-1.102 2.950 -1.613
1.019 -1.410 -3.275
-4.159 -2.878 -2.421
P Mg Si
1 1 2
Direct
0.500 0.949 0.648
0.000 0.484 0.596
0.500 0.241 0.198
0.000 0.826 0.058

8.
ErZr2Ru (PBE-GGA, optimized geometry); ΔE to the lowest computed polymorph = 0.000 eV per formula unit; calculated formation energy = -0.71 eV/f.u.
1.0
3.313 0.000 0.000
0.000 3.313 0.000
0.000 0.000 7.943
Ru Zr Er
1 2 1
Direct
0.500 0.500 0.000
0.000 0.000 0.201
0.000 0.000 0.799
0.500 0.500 0.500

Number 1: calculated total energy -0.3461 hartree per atom. Number 2: calculated total energy -0.1654 hartree per atom. Number 3: calculated total energy -0.3871 hartree per atom. Number 4: calculated total energy -0.0825 hartree per atom. Number 5: calculated total energy -0.2729 hartree per atom. Number 6: calculated total energy -0.1193 hartree per atom. Number 7: calculated total energy -0.1599 hartree per atom. Number 8: calculated total energy -0.2907 hartree per atom.